This record from Alexandria via LeMat-Bulk describes a relaxed structure of LaCdTc2. The functional is PBE.

It has space group Cmmm (No. 65), with a = 6.326 Å, b = 8.962 Å, c = 2.763 Å, α = 90.00°, β = 90.00° and γ = 90.00°. The asymmetric unit holds La at (0.000, 0.000, 0.000), Cd at (0.000, 0.500, 0.000) and Tc at (0.250, 0.250, 0.500).

The value obtained for the theoretical density is 9483 kg/m³. Its formation energy is 248.0 kJ/mol of formula units.

=====

This record from Alexandria via LeMat-Bulk describes a relaxed structure of SmThPa2Ir4. The functional is PBE.

It has space group Fmm2 (No. 42), with a = 7.734 Å, b = 11.287 Å, c = 8.448 Å, α = 90.00°, β = 90.00° and γ = 90.00°. The asymmetric unit holds Sm at (0.000, 0.000, 0.000), Th at (0.000, 0.000, 0.572), Pa at (0.250, 0.250, 0.328), Ir at (0.000, 0.245, 0.080) and Ir at (0.203, 0.000, 0.291).

The value obtained for the theoretical density is 14530 kg/m³. Its formation energy is -615.3 kJ/mol of formula units.

=====

This record from Alexandria via LeMat-Bulk describes a relaxed structure of TcAg2Pd. The functional is PBE.

It has space group Fm-3m (No. 225), with a = 6.484 Å, b = 6.484 Å, c = 6.484 Å, α = 90.00°, β = 90.00° and γ = 90.00°. The asymmetric unit holds Tc at (0.000, 0.000, 0.000), Ag at (0.250, 0.250, 0.250) and Pd at (0.000, 0.000, 0.500).

For the energy above the lowest structure with this stoichiometry, the calculation gives 0.00 kcal/mol of atoms. The value obtained for the theoretical density is 10239 kg/m³. Its formation energy is 218.2 kJ/mol of formula units.

=====

This record from Alexandria via LeMat-Bulk describes a relaxed structure of Pm5Cd4Pt. The functional is PBE.

It has space group P4/mmm (No. 123), with a = 3.756 Å, b = 3.756 Å, c = 19.121 Å, α = 90.00°, β = 90.00° and γ = 90.00°. The asymmetric unit holds Pm at (0.000, 0.000, 0.000), Pm at (0.000, 0.000, 0.207), Pm at (0.000, 0.000, 0.414), Cd at (0.500, 0.500, 0.103), Cd at (0.500, 0.500, 0.306) and Pt at (0.500, 0.500, 0.500).

The value obtained for the theoretical density is 8430 kg/m³. Its formation energy is -460.4 kJ/mol of formula units.

=====

This record from Alexandria via LeMat-Bulk describes a relaxed structure of Be2SbSN. The functional is PBE.

It has space group P4/mmm (No. 123), with a = 3.533 Å, b = 3.533 Å, c = 8.156 Å, α = 90.00°, β = 90.00° and γ = 90.00°. The asymmetric unit holds Be at (0.000, 0.500, 0.000), Sb at (0.000, 0.000, 0.500), S at (0.500, 0.500, 0.500) and N at (0.000, 0.000, 0.000).

The calculation puts the formation energy without anion corrections at 0.26 eV/atom. The value obtained for the theoretical density is 3032 kg/m³.

=====

This record from Alexandria via LeMat-Bulk describes a relaxed structure of Ba2EuMg. The functional is PBE.

It has space group P4/mmm (No. 123), with a = 4.356 Å, b = 4.356 Å, c = 9.993 Å, α = 90.00°, β = 90.00° and γ = 90.00°. The asymmetric unit holds Ba at (0.000, 0.000, 0.214), Eu at (0.500, 0.500, 0.500) and Mg at (0.500, 0.500, 0.000).

For the energy above the lowest structure with this stoichiometry, the calculation gives 0.00 kcal/mol of atoms. The value obtained for the theoretical density is 3949 kg/m³. Its formation energy is 1.9 kJ/mol of formula units.

=====

This record from Alexandria via LeMat-Bulk describes a relaxed structure of Er4ThPd5. The functional is PBE.

It has space group P4/mmm (No. 123), with a = 3.462 Å, b = 3.462 Å, c = 17.981 Å, α = 90.00°, β = 90.00° and γ = 90.00°. The asymmetric unit holds Er at (0.000, 0.000, 0.097), Er at (0.000, 0.000, 0.293), Th at (0.000, 0.000, 0.500), Pd at (0.500, 0.500, 0.000), Pd at (0.500, 0.500, 0.195) and Pd at (0.500, 0.500, 0.387).

The value obtained for the theoretical density is 11041 kg/m³. Its formation energy is -829.2 kJ/mol of formula units.

=====

This record from Alexandria via LeMat-Bulk describes a relaxed structure of LaPr2Hg. The functional is PBE.

It has space group P4/mmm (No. 123), with a = 3.824 Å, b = 3.824 Å, c = 8.874 Å, α = 90.00°, β = 90.00° and γ = 90.00°. The asymmetric unit holds La at (0.000, 0.000, 0.000), Pr at (0.500, 0.500, 0.281) and Hg at (0.000, 0.000, 0.500).

For the energy above the lowest structure with this stoichiometry, the calculation gives 0.00 kcal/mol of atoms. The value obtained for the theoretical density is 7950 kg/m³. Its formation energy is -91.3 kJ/mol of formula units.

=====

This record from Alexandria via LeMat-Bulk describes a relaxed structure of SrVHgPb2. The functional is PBE.

It has space group P4/mmm (No. 123), with a = 5.303 Å, b = 5.303 Å, c = 6.024 Å, α = 90.00°, β = 90.00° and γ = 90.00°. The asymmetric unit holds Sr at (0.000, 0.000, 0.000), V at (0.000, 0.000, 0.500), Hg at (0.500, 0.500, 0.000) and Pb at (0.000, 0.500, 0.500).

The value obtained for the theoretical density is 7386 kg/m³. Its formation energy is 97.8 kJ/mol of formula units.

=====

This record from Alexandria via LeMat-Bulk describes a relaxed structure of Ho5Np3As12. The functional is PBE.

It has space group Ia-3d (No. 230), with a = 16.498 Å, b = 16.498 Å, c = 16.498 Å, α = 90.00°, β = 90.00° and γ = 90.00°. The asymmetric unit holds Ho at (0.000, 0.000, 0.000), Ho at (0.000, 0.250, 0.375), Np at (0.000, 0.250, 0.125) and As at (0.012, 0.082, 0.660).

The value obtained for the theoretical density is 7203 kg/m³. Its formation energy is -842.3 kJ/mol of formula units.

=====

This record from Alexandria via LeMat-Bulk describes a relaxed structure of Mg4RuBr. The functional is PBE.

It has space group F-43m (No. 216), with a = 7.950 Å, b = 7.950 Å, c = 7.950 Å, α = 90.00°, β = 90.00° and γ = 90.00°. The asymmetric unit holds Mg at (0.124, 0.124, 0.124), Ru at (0.250, 0.250, 0.750) and Br at (0.000, 0.000, 0.500).

The calculation puts the formation energy without anion corrections at 0.40 eV/atom. The value obtained for the theoretical density is 3678 kg/m³.

=====

This record from Alexandria via LeMat-Bulk describes a relaxed structure of CeTiZn2. The functional is PBE.

It has space group P4/mmm (No. 123), with a = 5.037 Å, b = 5.037 Å, c = 3.124 Å, α = 90.00°, β = 90.00° and γ = 90.00°. The asymmetric unit holds Ce at (0.000, 0.000, 0.000), Ti at (0.500, 0.500, 0.000) and Zn at (0.000, 0.500, 0.500).

For the energy above the lowest structure with this stoichiometry, the calculation gives 4.25 kcal/mol of atoms. The value obtained for the theoretical density is 6681 kg/m³. Its formation energy is 3.0 kJ/mol of formula units.

=====

This record from Alexandria via LeMat-Bulk describes a relaxed structure of HoPuZnPt. The functional is PBE.

It has space group F-43m (No. 216), with a = 7.055 Å, b = 7.055 Å, c = 7.055 Å, α = 90.00°, β = 90.00° and γ = 90.00°. The asymmetric unit holds Ho at (0.000, 0.000, 0.000), Pu at (0.000, 0.000, 0.500), Zn at (0.250, 0.250, 0.250) and Pt at (0.250, 0.250, 0.750).

The value obtained for the theoretical density is 12661 kg/m³. Its formation energy is -222.0 kJ/mol of formula units.

=====

This record from Alexandria via LeMat-Bulk describes a relaxed structure of La3YHo3Te8. The functional is PBE.

It has space group R-3m (No. 166, hexagonal axes), with a = 8.8276 Å, b = 8.8276 Å, c = 21.9978 Å, α = 90.00°, β = 90.00° and γ = 120.00°. The asymmetric unit holds La at (0.0000, 0.5000, 0.0000), Y at (0.0000, 0.0000, 0.5000), Ho at (0.0000, 0.5000, 0.5000), Te at (0.0000, 0.0000, 0.2442) and Te at (0.0094, 0.5047, 0.7536).

The calculation puts the formation energy without anion corrections at -1.47 eV/atom. The value obtained for the theoretical density is 6782 kg/m³.

=====

This record from Alexandria via LeMat-Bulk describes a relaxed structure of SbTe2MoC. The functional is PBE.

It has space group P4/mmm (No. 123), with a = 4.714 Å, b = 4.714 Å, c = 4.647 Å, α = 90.00°, β = 90.00° and γ = 90.00°. The asymmetric unit holds Sb at (0.000, 0.000, 0.000), Te at (0.000, 0.500, 0.500), Mo at (0.500, 0.500, 0.000) and C at (0.000, 0.000, 0.500).

The calculation puts the formation energy without anion corrections at 1.30 eV/atom. For the energy above the lowest structure with this stoichiometry, the calculation gives 0.00 kcal/mol of atoms. The value obtained for the theoretical density is 7796 kg/m³.

=====

This record from Alexandria via LeMat-Bulk describes a relaxed structure of SrCrP. The functional is PBE.

It has space group F-43m (No. 216), with a = 6.964 Å, b = 6.964 Å, c = 6.964 Å, α = 90.00°, β = 90.00° and γ = 90.00°. The asymmetric unit holds Sr at (0.000, 0.000, 0.000), Cr at (0.250, 0.250, 0.250) and P at (0.250, 0.250, 0.750).

The value obtained for the theoretical density is 3355 kg/m³. Its formation energy is 164.2 kJ/mol of formula units.

=====

This record from Alexandria via LeMat-Bulk describes a relaxed structure of La2Dy6Th3. The functional is PBE.

It has space group C2/m (No. 12), with a = 6.124 Å, b = 10.841 Å, c = 11.425 Å, α = 90.00°, β = 92.25° and γ = 90.00°. The asymmetric unit holds La at (0.000, 0.152, 0.000), Dy at (0.143, 0.336, 0.254), Dy at (0.146, 0.000, 0.262), Th at (0.000, 0.168, 0.500) and Th at (0.000, 0.500, 0.500).

The value obtained for the theoretical density is 8541 kg/m³. Its formation energy is 159.2 kJ/mol of formula units.

=====

This record from Alexandria via LeMat-Bulk describes a relaxed structure of Al2SiNi. The functional is PBE.

It has space group P-3m1 (No. 164), with a = 3.9749 Å, b = 3.9749 Å, c = 4.5148 Å, α = 90.00°, β = 90.00° and γ = 120.00°. The asymmetric unit holds Al at (0.3333, 0.6667, 0.1979), Si at (0.0000, 0.0000, 0.5000) and Ni at (0.0000, 0.0000, 0.0000).

The calculation puts the formation energy without anion corrections at -0.31 eV/atom. For the energy above the lowest structure with this stoichiometry, the calculation gives 0.16 kcal/mol of atoms. The value obtained for the theoretical density is 3783 kg/m³.

=====

This record from Alexandria via LeMat-Bulk describes a relaxed structure of Na5HgAs2. The functional is PBE.

It has space group P6_3/mmc (No. 194), with a = 5.1721 Å, b = 5.1721 Å, c = 18.5000 Å, α = 90.00°, β = 90.00° and γ = 120.00°. The asymmetric unit holds Na at (0.0000, 0.0000, 0.1379), Na at (0.3333, 0.6667, 0.0535), Na at (0.3333, 0.6667, 0.2500), Hg at (0.3333, 0.6667, 0.7500) and As at (0.3333, 0.6667, 0.6098).

The value obtained for the theoretical density is 3606 kg/m³. Its formation energy is -249.9 kJ/mol of formula units.

=====

This record from Alexandria via LeMat-Bulk describes a relaxed structure of CaHg2Os. The functional is PBE.

It has space group Fm-3m (No. 225), with a = 6.913 Å, b = 6.913 Å, c = 6.913 Å, α = 90.00°, β = 90.00° and γ = 90.00°. The asymmetric unit holds Ca at (0.000, 0.000, 0.000), Hg at (0.250, 0.250, 0.250) and Os at (0.000, 0.000, 0.500).

The value obtained for the theoretical density is 12694 kg/m³. Its formation energy is 133.5 kJ/mol of formula units.